This record from Alexandria via LeMat-Bulk describes an optimized crystal structure of AlBi3W. The functional is PBE.

```
AlBi3W
1.0
5.347 0.000 0.000
0.000 5.347 0.000
0.000 0.000 5.347
Bi W Al
3 1 1
Direct
0.500 0.000 0.000
0.000 0.500 0.000
0.000 0.000 0.500
0.500 0.500 0.500
0.000 0.000 0.000
```

Summary:
The value obtained for the excess energy over the best structure of this formula in the dataset is 3.07 eV per formula unit. The calculation puts the raw total energy at -20.729 eV for the cell shown. Its formation energy is 1521.9 meV/atom.



This record from Alexandria via LeMat-Bulk describes an optimized crystal structure of Na3Pm3HoTe8. The functional is PBE.

```
Na3Pm3HoTe8
1.0
8.908 0.001 0.001
-4.454 7.723 -0.032
0.000 -5.123 7.675
Na Te Ho Pm
3 8 1 3
Direct
0.000 0.500 0.000
0.000 0.000 0.000
0.500 0.500 0.000
0.250 0.008 0.266
0.758 0.008 0.266
0.242 0.992 0.734
0.750 0.992 0.734
0.758 0.516 0.266
0.253 0.507 0.260
0.242 0.484 0.734
0.747 0.493 0.740
0.000 0.000 0.500
0.500 0.500 0.500
0.500 0.000 0.500
0.000 0.500 0.500
```

Summary:
The calculation puts the raw total energy at -66.733 eV for the cell shown. Its formation energy (no corrections) is -1.254 eV per atom.